# 1
Computed, not measured: an optimized crystal structure of La4AsPBr2 at the PBE level of DFT. Values from VASP.

## Properties
M_tot = 0.0 μB/f.u.
Final energy = -5.714 eV/atom
Space group = P2/m (10)
D(E_F) = 0.440 states/eV per atom
Uncorrected formation energy = -1574 meV per atom
Crystal system = monoclinic

```
&SYSTEM
  ibrav = 0, nat = 8, ntyp = 4
/
ATOMIC_SPECIES
La 138.91 La.upf
As 74.92 As.upf
P 30.97 P.upf
Br 79.90 Br.upf
CELL_PARAMETERS angstrom
7.4973 0.0000 0.0000
0.0000 4.3048 0.0000
-2.4872 0.0000 7.3046
ATOMIC_POSITIONS angstrom
La 1.1798 0.0000 1.5348
La -0.0726 2.1524 5.7415
La 5.0827 2.1524 1.5631
La 3.8303 0.0000 5.7697
As 3.7487 0.0000 0.0000
P 0.0000 2.1524 0.0000
Br -1.2436 0.0000 3.6523
Br 2.5051 2.1524 3.6523
```

---

# 2
Computed, not measured: an optimized crystal structure of La6As3P2Br at the PBE level of DFT. Values from VASP.

## Properties
M_tot = 0.0 μB/f.u.
Final energy = -6.271 eV/atom
Space group = C2/m (12)
D(E_F) = 0.341 states/eV per atom
Uncorrected formation energy = -1603 meV per atom
Crystal system = monoclinic

```
&SYSTEM
  ibrav = 0, nat = 12, ntyp = 4
/
ATOMIC_SPECIES
La 138.91 La.upf
As 74.92 As.upf
P 30.97 P.upf
Br 79.90 Br.upf
CELL_PARAMETERS angstrom
9.4331 -2.1666 0.0000
9.4331 2.1666 0.0000
-1.9451 0.0000 8.4761
ATOMIC_POSITIONS angstrom
La -0.4625 0.0000 2.2770
La 4.3976 0.0000 7.6814
La 5.4288 0.0000 3.5662
La 11.4924 0.0000 4.9100
La 12.5236 0.0000 0.7947
La 17.3836 0.0000 6.1991
As 1.4510 0.0000 7.0772
As 8.4606 0.0000 4.2381
As 15.4701 0.0000 1.3989
P 2.4864 0.0000 2.8042
P 14.4347 0.0000 5.6719
Br 9.4331 0.0000 0.0000
```

---

# 3
Computed, not measured: an optimized crystal structure of LaAsPbBr2 at the PBE level of DFT. Values from VASP.

## Properties
M_tot = 0.3 μB/f.u.
Final energy = -3.681 eV/atom
Space group = P4/mmm (123)
D(E_F) = 0.892 states/eV per atom
Uncorrected formation energy = -354 meV per atom
Crystal system = tetragonal

```
&SYSTEM
  ibrav = 0, nat = 5, ntyp = 4
/
ATOMIC_SPECIES
La 138.91 La.upf
As 74.92 As.upf
Pb 207.20 Pb.upf
Br 79.90 Br.upf
CELL_PARAMETERS angstrom
5.5803 0.0000 0.0000
0.0000 5.5803 0.0000
0.0000 0.0000 5.7188
ATOMIC_POSITIONS angstrom
La 0.0000 0.0000 0.0000
As 2.7901 2.7901 0.0000
Pb 2.7901 2.7901 2.8594
Br 0.0000 2.7901 2.8594
Br 2.7901 0.0000 2.8594
```

---

# 4
Computed, not measured: an optimized crystal structure of LaAsPbBr2 at the PBE level of DFT. Values from VASP.

## Properties
M_tot = 0.1 μB/f.u.
Final energy = -3.994 eV/atom
Space group = P4/mmm (123)
D(E_F) = 0.489 states/eV per atom
Uncorrected formation energy = -668 meV per atom
Crystal system = tetragonal

```
&SYSTEM
  ibrav = 0, nat = 5, ntyp = 4
/
ATOMIC_SPECIES
La 138.91 La.upf
As 74.92 As.upf
Pb 207.20 Pb.upf
Br 79.90 Br.upf
CELL_PARAMETERS angstrom
5.7058 0.0000 0.0000
0.0000 5.7058 0.0000
0.0000 0.0000 5.9526
ATOMIC_POSITIONS angstrom
La 0.0000 0.0000 0.0000
As 0.0000 0.0000 2.9763
Pb 2.8529 2.8529 2.9763
Br 0.0000 2.8529 0.0000
Br 2.8529 0.0000 0.0000
```

---

# 5
Computed, not measured: an optimized crystal structure of La3AsPbBr at the PBE level of DFT. Values from VASP.

## Properties
M_tot = 0.0 μB/f.u.
Final energy = -5.306 eV/atom
Space group = P2_1/m (11)
D(E_F) = 0.681 states/eV per atom
Uncorrected formation energy = -1171 meV per atom
Crystal system = monoclinic

```
&SYSTEM
  ibrav = 0, nat = 12, ntyp = 4
/
ATOMIC_SPECIES
La 138.91 La.upf
As 74.92 As.upf
Pb 207.20 Pb.upf
Br 79.90 Br.upf
CELL_PARAMETERS angstrom
7.7181 0.0000 0.0000
0.0000 4.4281 0.0000
-2.4722 0.0000 11.5135
ATOMIC_POSITIONS angstrom
La -0.0469 1.1070 1.7640
La 0.4730 3.3211 5.8075
La 1.3863 3.3211 9.8426
La 3.8596 1.1070 1.6708
La 4.7728 1.1070 5.7059
La 5.2928 3.3211 9.7495
As 1.9015 3.3211 0.7144
As 3.3444 1.1070 10.7990
Pb -0.5418 1.1070 7.9979
Pb 5.7877 3.3211 3.5155
Br 1.9826 1.1070 4.2048
Br 3.2633 3.3211 7.3086
```

---

# 6
Computed, not measured: an optimized crystal structure of La4AsPdBr2 at the PBE level of DFT. Values from VASP.

## Properties
M_tot = 0.0 μB/f.u.
Final energy = -5.393 eV/atom
Space group = P2/m (10)
D(E_F) = 0.795 states/eV per atom
Uncorrected formation energy = -1281 meV per atom
Crystal system = monoclinic

```
&SYSTEM
  ibrav = 0, nat = 8, ntyp = 4
/
ATOMIC_SPECIES
La 138.91 La.upf
As 74.92 As.upf
Pd 106.42 Pd.upf
Br 79.90 Br.upf
CELL_PARAMETERS angstrom
7.6234 0.0000 0.0000
0.0000 4.2286 0.0000
-2.4189 0.0000 7.3776
ATOMIC_POSITIONS angstrom
La 1.0983 0.0000 1.7098
La -0.0380 2.1143 5.4388
La 5.2426 2.1143 1.9388
La 4.1062 0.0000 5.6678
As -1.2095 0.0000 3.6888
Pd 0.0000 2.1143 0.0000
Br 3.8117 0.0000 0.0000
Br 2.6023 2.1143 3.6888
```

---

# 7
Computed, not measured: an optimized crystal structure of LaAsPdBr2 at the PBE level of DFT. Values from VASP.

## Properties
M_tot = 2.1 μB/f.u.
Final energy = -3.828 eV/atom
Space group = P4/mmm (123)
D(E_F) = 1.002 states/eV per atom
Uncorrected formation energy = -205 meV per atom
Crystal system = tetragonal

```
&SYSTEM
  ibrav = 0, nat = 5, ntyp = 4
/
ATOMIC_SPECIES
La 138.91 La.upf
As 74.92 As.upf
Pd 106.42 Pd.upf
Br 79.90 Br.upf
CELL_PARAMETERS angstrom
5.7732 0.0000 0.0000
0.0000 5.7732 0.0000
0.0000 0.0000 6.0434
ATOMIC_POSITIONS angstrom
La 0.0000 0.0000 0.0000
As 0.0000 0.0000 3.0217
Pd 2.8866 2.8866 3.0217
Br 0.0000 2.8866 0.0000
Br 2.8866 0.0000 0.0000
```

---

# 8
Computed, not measured: an optimized crystal structure of LaAsPdBr2 at the PBE level of DFT. Values from VASP.

## Properties
M_tot = 0.0 μB/f.u.
Final energy = -4.251 eV/atom
Space group = P4/mmm (123)
D(E_F) = 0.186 states/eV per atom
Uncorrected formation energy = -628 meV per atom
Crystal system = tetragonal

```
&SYSTEM
  ibrav = 0, nat = 5, ntyp = 4
/
ATOMIC_SPECIES
La 138.91 La.upf
As 74.92 As.upf
Pd 106.42 Pd.upf
Br 79.90 Br.upf
CELL_PARAMETERS angstrom
4.9935 0.0000 0.0000
0.0000 4.9935 0.0000
0.0000 0.0000 5.2459
ATOMIC_POSITIONS angstrom
La 0.0000 0.0000 0.0000
As 2.4968 2.4968 0.0000
Pd 2.4968 2.4968 2.6230
Br 0.0000 2.4968 2.6230
Br 2.4968 0.0000 2.6230
```